No. 1
Here is a PBEsol-optimized structure of Al5Ag3 from Alexandria. Energies are from meta-GGA SCAN.

Properties
Crystal system ... monoclinic
Polymorph energy (0 for the lowest one) ... 15.8 meV per atom
Final energy ... -16.664 eV per atom

Cell lengths 4.738, 2.886, 9.592 Å; angles 90.00, 98.97, 90.00 degrees
Element x y z (fractional)
Al  0.000  0.000  0.000
Al  0.003  0.500  0.501
Al  0.251  0.500  0.253
Al  0.277  0.000  0.753
Al  0.756  0.000  0.250
Ag  0.501  0.000  0.498
Ag  0.501  0.500  0.006
Ag  0.776  0.500  0.751

---

No. 2
Here is a PBEsol-optimized structure of Al5Ag from Alexandria. Energies are from meta-GGA SCAN.

Properties
Crystal system ... orthorhombic
Polymorph energy (0 for the lowest one) ... 27.1 meV per atom
Final energy ... -11.694 eV per atom

Cell lengths 2.862, 4.043, 8.432 Å; angles 90.00, 90.00, 90.00 degrees
Element x y z (fractional)
Al  0.000  0.000  0.000
Al  0.000  0.000  0.332
Al  0.000  0.000  0.668
Al  0.500  0.500  0.165
Al  0.500  0.500  0.835
Ag  0.500  0.500  0.500

---

No. 3
Here is a PBEsol-optimized structure of Al5Ag3 from Alexandria. Energies are from meta-GGA SCAN.

Properties
Crystal system ... monoclinic
Polymorph energy (0 for the lowest one) ... 0.0 meV per atom
Final energy ... -16.680 eV per atom

Cell lengths 6.595, 2.989, 6.928 Å; angles 90.00, 108.14, 90.00 degrees
Element x y z (fractional)
Al  0.000  0.000  0.000
Al  0.126  0.500  0.378
Al  0.258  0.000  0.754
Al  0.742  0.000  0.246
Al  0.874  0.500  0.622
Ag  0.365  0.500  0.121
Ag  0.500  0.000  0.500
Ag  0.635  0.500  0.879

---

No. 4
Here is a PBEsol-optimized structure of Al5Ag2 from Alexandria. Energies are from meta-GGA SCAN.

Properties
Crystal system ... trigonal
Polymorph energy (0 for the lowest one) ... 0.0 meV per atom
Final energy ... -14.552 eV per atom

Cell lengths 15.690, 15.690, 15.690 Å; angles 10.60, 10.60, 10.60 degrees
Element x y z (fractional)
Al  0.000  0.000  0.000
Al  0.143  0.143  0.143
Al  0.285  0.285  0.285
Al  0.715  0.715  0.715
Al  0.857  0.857  0.857
Ag  0.429  0.429  0.429
Ag  0.571  0.571  0.571

---

No. 5
Here is a PBEsol-optimized structure of Al3Ag from Alexandria. Energies are from meta-GGA SCAN.

Properties
Crystal system ... orthorhombic
Final energy ... -13.682 eV per atom

Cell lengths 4.951, 9.320, 5.626 Å; angles 90.00, 90.00, 90.00 degrees
Element x y z (fractional)
Al  0.080  0.250  0.117
Al  0.245  0.501  0.371
Al  0.245  0.999  0.371
Al  0.255  0.001  0.871
Al  0.255  0.499  0.871
Al  0.420  0.750  0.617
Al  0.580  0.250  0.383
Al  0.745  0.501  0.129
Al  0.745  0.999  0.129
Al  0.755  0.001  0.629
Al  0.755  0.499  0.629
Al  0.920  0.750  0.883
Ag  0.086  0.250  0.613
Ag  0.414  0.750  0.113
Ag  0.586  0.250  0.887
Ag  0.914  0.750  0.387

---

No. 6
Here is a PBEsol-optimized structure of AlAg2 from Alexandria. Energies are from meta-GGA SCAN.

Properties
Crystal system ... triclinic
Final energy ... -23.590 eV per atom

Cell lengths 5.621, 5.649, 7.414 Å; angles 69.64, 79.96, 60.90 degrees
Element x y z (fractional)
Al  0.000  0.000  0.000
Al  0.180  0.336  0.663
Al  0.500  0.500  0.000
Al  0.820  0.664  0.337
Ag  0.000  0.500  0.000
Ag  0.173  0.832  0.679
Ag  0.323  0.172  0.339
Ag  0.324  0.668  0.330
Ag  0.500  0.000  0.000
Ag  0.676  0.332  0.670
Ag  0.677  0.828  0.661
Ag  0.827  0.168  0.321

---

No. 7
Here is a PBEsol-optimized structure of Al2Ag5 from Alexandria. Energies are from meta-GGA SCAN.

Properties
Crystal system ... triclinic
Polymorph energy (0 for the lowest one) ... 0.0 meV per atom
Final energy ... -24.717 eV per atom

Cell lengths 4.798, 4.940, 5.018 Å; angles 99.80, 97.03, 102.40 degrees
Element x y z (fractional)
Al  0.081  0.152  0.286
Al  0.919  0.848  0.714
Ag  0.208  0.406  0.858
Ag  0.349  0.713  0.440
Ag  0.500  0.000  0.000
Ag  0.651  0.287  0.560
Ag  0.792  0.594  0.142

---

No. 8
Here is a PBEsol-optimized structure of Al5Ag2 from Alexandria. Energies are from meta-GGA SCAN.

Properties
Crystal system ... orthorhombic
Polymorph energy (0 for the lowest one) ... 25.4 meV per atom
Final energy ... -14.526 eV per atom

Cell lengths 10.399, 10.399, 10.399 Å; angles 164.42, 157.85, 27.20 degrees
Element x y z (fractional)
Al  0.000  0.000  0.000
Al  0.142  0.142  0.000
Al  0.285  0.285  0.000
Al  0.715  0.715  0.000
Al  0.858  0.858  0.000
Ag  0.427  0.427  0.000
Ag  0.573  0.573  0.000

---

No. 9
Here is a PBEsol-optimized structure of AlAg from Alexandria. Energies are from meta-GGA SCAN.

Properties
Crystal system ... orthorhombic
Final energy ... -19.618 eV per atom

Cell lengths 4.820, 4.820, 6.053 Å; angles 90.00, 90.00, 112.13 degrees
Element x y z (fractional)
Al  0.000  0.000  0.250
Al  0.000  0.000  0.750
Al  0.000  0.500  0.000
Al  0.500  0.000  0.500
Ag  0.000  0.500  0.500
Ag  0.500  0.000  0.000
Ag  0.500  0.500  0.250
Ag  0.500  0.500  0.750

---

No. 10
Here is a PBEsol-optimized structure of AlAg from Alexandria. Energies are from meta-GGA SCAN.

Properties
Crystal system ... orthorhombic
Final energy ... -19.639 eV per atom

Cell lengths 6.810, 6.225, 4.968 Å; angles 73.99, 61.48, 44.53 degrees
Element x y z (fractional)
Al  0.000  0.000  0.500
Al  0.126  0.126  0.874
Al  0.500  0.500  0.000
Al  0.874  0.874  0.126
Ag  0.250  0.250  0.250
Ag  0.375  0.375  0.625
Ag  0.625  0.625  0.375
Ag  0.750  0.750  0.750

---

No. 11
Here is a PBEsol-optimized structure of Al3Ag5 from Alexandria. Energies are from meta-GGA SCAN.

Properties
Crystal system ... triclinic
Polymorph energy (0 for the lowest one) ... 13.1 meV per atom
Final energy ... -22.611 eV per atom

Cell lengths 4.788, 4.946, 5.769 Å; angles 73.16, 89.87, 78.85 degrees
Element x y z (fractional)
Al  0.000  0.000  0.000
Al  0.002  0.988  0.503
Al  0.730  0.495  0.128
Ag  0.226  0.499  0.881
Ag  0.230  0.506  0.368
Ag  0.495  0.980  0.756
Ag  0.511  0.995  0.252
Ag  0.743  0.471  0.629

---

No. 12
Here is a PBEsol-optimized structure of Al4Ag5 from Alexandria. Energies are from meta-GGA SCAN.

Properties
Crystal system ... tetragonal
Polymorph energy (0 for the lowest one) ... 24.8 meV per atom
Final energy ... -20.943 eV per atom

Cell lengths 6.457, 6.457, 6.457 Å; angles 94.94, 94.94, 145.88 degrees
Element x y z (fractional)
Al  0.165  0.165  0.330
Al  0.165  0.835  0.000
Al  0.835  0.165  0.000
Al  0.835  0.835  0.670
Ag  0.174  0.500  0.674
Ag  0.500  0.174  0.674
Ag  0.500  0.500  0.000
Ag  0.500  0.826  0.326
Ag  0.826  0.500  0.326

---

Number 1: ΔE_f -43 kJ/mol of formula units, total moment 0.0 μB per cell. Number 2: ΔE_f -4 kJ/mol of formula units, total moment 0.0 μB per cell. Number 3: ΔE_f -56 kJ/mol of formula units, total moment 0.0 μB per cell. Number 4: ΔE_f -35 kJ/mol of formula units, total moment 0.0 μB per cell. Number 5: ΔE_f -10 kJ/mol of formula units, total moment 0.0 μB per cell. Number 6: ΔE_f -27 kJ/mol of formula units, total moment 0.0 μB per cell. Number 7: ΔE_f -65 kJ/mol of formula units, total moment 0.0 μB per cell. Number 8: ΔE_f -18 kJ/mol of formula units, total moment 0.0 μB per cell. Number 9: ΔE_f -11 kJ/mol of formula units, total moment 0.0 μB per cell. Number 10: ΔE_f -15 kJ/mol of formula units, total moment 0.0 μB per cell. Number 11: ΔE_f -77 kJ/mol of formula units, total moment 0.0 μB per cell. Number 12: ΔE_f -62 kJ/mol of formula units, total moment 0.0 μB per cell.